# 1
DFT (PBE) results for crystalline Sm8DyIr6 at its relaxed geometry.

Crystal system ... trigonal
E_form ... -671.4 meV per atom
DOS(E_F) ... 10.8 states/eV per cell

abc: 7.8259 7.8259 7.8259
angles: 65.03 65.03 65.03
Sites, in units of the cell vectors:
Sm: 0.0588 0.3863 0.7193
Sm: 0.1676 0.1676 0.1676
Sm: 0.2807 0.9412 0.6137
Sm: 0.3863 0.7193 0.0588
Sm: 0.6137 0.2807 0.9412
Sm: 0.7193 0.0588 0.3863
Sm: 0.8324 0.8324 0.8324
Sm: 0.9412 0.6137 0.2807
Dy: 0.5000 0.5000 0.5000
Ir: 0.1117 0.7747 0.4439
Ir: 0.2253 0.5561 0.8883
Ir: 0.4439 0.1117 0.7747
Ir: 0.5561 0.8883 0.2253
Ir: 0.7747 0.4439 0.1117
Ir: 0.8883 0.2253 0.5561

# 2
DFT (PBE) results for crystalline Sr2Ce2Tl7 at its relaxed geometry.

Crystal system ... orthorhombic
E_form ... 66.4 meV per atom
DOS(E_F) ... 20.6 states/eV per cell

abc: 8.0549 8.0549 6.3820
angles: 90.00 90.00 96.00
Sites, in units of the cell vectors:
Sr: 0.1914 0.1914 0.0000
Sr: 0.8086 0.8086 0.0000
Ce: 0.2700 0.7300 0.5000
Ce: 0.7300 0.2700 0.5000
Tl: 0.0000 0.0000 0.5000
Tl: 0.0000 0.5000 0.2402
Tl: 0.0000 0.5000 0.7598
Tl: 0.5000 0.0000 0.2402
Tl: 0.5000 0.0000 0.7598
Tl: 0.5000 0.5000 0.2353
Tl: 0.5000 0.5000 0.7647

# 3
DFT (PBE) results for crystalline YZrHg2 at its relaxed geometry.

Crystal system ... orthorhombic
E_form ... -186.5 meV per atom
DOS(E_F) ... 4.0 states/eV per cell

abc: 6.1530 6.1530 6.1530
angles: 146.13 131.76 60.24
Sites, in units of the cell vectors:
Y: 0.0000 0.0000 0.0000
Zr: 0.2609 0.7609 0.5000
Hg: 0.5104 0.5104 0.0000
Hg: 0.7390 0.2390 0.5000

# 4
DFT (PBE) results for crystalline InReBr2 at its relaxed geometry.

Crystal system ... orthorhombic
Raw formation energy ... 1.2 eV/f.u.
DOS(E_F) ... 4.2 states/eV per cell

abc: 7.6596 7.6596 7.6596
angles: 155.93 143.63 44.08
Sites, in units of the cell vectors:
In: 0.0000 0.0000 0.0000
Re: 0.5000 0.5000 0.0000
Br: 0.3515 0.8515 0.5000
Br: 0.6485 0.1485 0.5000